1.
First-principles (PBE-GGA) data for a relaxed PPtAu2 crystal, as listed in Alexandria.

Values from the calculation:
SG   P3m1, No. 156
Final energy   -4.654 eV/atom
E_form   -3.51 kcal/mol of atoms

a b c (Å): 3.440 3.440 7.443
angles (deg): 90.00 90.00 60.00
Positions (direct):
P 0.375 0.375 0.560
Pt 0.708 0.708 0.715
Au 0.042 0.042 0.979
Au 0.375 0.375 0.246



2.
First-principles (PBE-GGA) data for a relaxed PPt2Au crystal, as listed in Alexandria.

Values from the calculation:
SG   Immm, No. 71
Final energy   -5.207 eV/atom
E_form   -0.33 kcal/mol of atoms

a b c (Å): 5.202 5.202 5.202
angles (deg): 143.44 129.00 64.37
Positions (direct):
P 0.500 0.000 0.500
Pt 0.699 0.699 0.000
Pt 0.301 0.301 0.000
Au 0.000 0.500 0.500



3.
First-principles (PBE-GGA) data for a relaxed PPt2Au crystal, as listed in Alexandria.

Values from the calculation:
SG   Pm, No. 6
Final energy   -5.297 eV/atom
E_form   -2.43 kcal/mol of atoms

a b c (Å): 3.640 4.320 4.559
angles (deg): 73.50 90.00 90.00
Positions (direct):
P 0.500 0.304 0.159
Pt 0.000 0.012 0.075
Pt 0.500 0.756 0.764
Au 0.000 0.428 0.501



4.
First-principles (PBE-GGA) data for a relaxed PPtAu2 crystal, as listed in Alexandria.

Values from the calculation:
SG   Pm, No. 6
Final energy   -4.492 eV/atom
E_form   0.22 kcal/mol of atoms

a b c (Å): 3.808 4.473 4.407
angles (deg): 73.64 90.00 90.00
Positions (direct):
P 0.000 0.329 0.499
Pt 0.500 0.180 0.281
Au 0.000 0.880 0.011
Au 0.500 0.611 0.709



5.
First-principles (PBE-GGA) data for a relaxed PPtAu2 crystal, as listed in Alexandria.

Values from the calculation:
SG   I-42d, No. 122
Final energy   -4.315 eV/atom
E_form   4.29 kcal/mol of atoms

a b c (Å): 7.350 7.350 5.809
angles (deg): 50.76 50.76 90.00
Positions (direct):
P 0.500 0.500 0.000
P 0.250 0.750 0.500
Au 0.589 0.125 0.250
Au 0.161 0.625 0.250
Au 0.375 0.411 0.750
Au 0.875 0.839 0.750
Pt 0.000 0.000 0.000
Pt 0.750 0.250 0.500



6.
First-principles (PBE-GGA) data for a relaxed PPt2Au crystal, as listed in Alexandria.

Values from the calculation:
SG   I-4m2, No. 119
Final energy   -4.967 eV/atom
E_form   5.20 kcal/mol of atoms

a b c (Å): 5.023 5.023 5.023
angles (deg): 134.11 134.11 66.92
Positions (direct):
P 0.750 0.250 0.500
Pt 0.000 0.000 0.000
Pt 0.250 0.750 0.500
Au 0.500 0.500 0.000



7.
First-principles (PBE-GGA) data for a relaxed P2PtAu2 crystal, as listed in Alexandria.

Values from the calculation:
SG   P4/mbm, No. 127
Final energy   -4.861 eV/atom
E_form   -4.11 kcal/mol of atoms

a b c (Å): 5.957 5.957 5.018
angles (deg): 90.00 90.00 90.00
Positions (direct):
P 0.368 0.868 0.000
P 0.868 0.632 0.000
P 0.632 0.132 0.000
P 0.132 0.368 0.000
Au 0.332 0.832 0.500
Au 0.832 0.668 0.500
Au 0.668 0.168 0.500
Au 0.168 0.332 0.500
Pt 0.000 0.000 0.000
Pt 0.500 0.500 0.000



8.
First-principles (PBE-GGA) data for a relaxed P4PtAu crystal, as listed in Alexandria.

Values from the calculation:
SG   F-43m, No. 216
Final energy   -4.441 eV/atom
E_form   16.56 kcal/mol of atoms

a b c (Å): 5.209 5.209 5.209
angles (deg): 60.00 60.00 60.00
Positions (direct):
P 0.916 0.361 0.361
P 0.361 0.361 0.916
P 0.361 0.916 0.361
P 0.361 0.361 0.361
Pt 0.750 0.750 0.750
Au 0.000 0.000 0.000



9.
First-principles (PBE-GGA) data for a relaxed PPtAu3 crystal, as listed in Alexandria.

Values from the calculation:
SG   Pm-3m, No. 221
Final energy   -3.029 eV/atom
E_form   28.32 kcal/mol of atoms
Energy relative to the lowest polymorph listed for this composition   722 meV per atom

a b c (Å): 5.050 5.050 5.050
angles (deg): 90.00 90.00 90.00
Positions (direct):
P 0.500 0.500 0.500
Au 0.000 0.500 0.000
Au 0.000 0.000 0.500
Au 0.500 0.000 0.000
Pt 0.000 0.000 0.000



10.
First-principles (PBE-GGA) data for a relaxed PPt2Au crystal, as listed in Alexandria.

Values from the calculation:
SG   Cmmm, No. 65
Final energy   -5.327 eV/atom
E_form   -3.11 kcal/mol of atoms

a b c (Å): 3.612 4.447 4.455
angles (deg): 72.58 90.00 90.00
Positions (direct):
P 0.500 0.500 0.000
Pt 0.000 0.294 0.794
Pt 0.000 0.706 0.206
Au 0.500 0.000 0.500



11.
First-principles (PBE-GGA) data for a relaxed PPtAu2 crystal, as listed in Alexandria.

Values from the calculation:
SG   I-4m2, No. 119
Final energy   -4.241 eV/atom
E_form   6.01 kcal/mol of atoms

a b c (Å): 4.755 4.755 4.755
angles (deg): 126.57 126.57 78.96
Positions (direct):
P 0.500 0.500 0.000
Pt 0.750 0.250 0.500
Au 0.000 0.000 0.000
Au 0.250 0.750 0.500



12.
First-principles (PBE-GGA) data for a relaxed PPtAu2 crystal, as listed in Alexandria.

Values from the calculation:
SG   Pmmm, No. 47
Final energy   -4.228 eV/atom
E_form   6.31 kcal/mol of atoms

a b c (Å): 3.537 3.585 5.379
angles (deg): 90.00 90.00 90.00
Positions (direct):
P 0.500 0.500 0.000
Pt 0.500 0.500 0.500
Au 0.000 0.000 0.752
Au 0.000 0.000 0.248



13.
First-principles (PBE-GGA) data for a relaxed PPt2Au crystal, as listed in Alexandria.

Values from the calculation:
SG   P4/mmm, No. 123
Final energy   -5.233 eV/atom
E_form   -0.94 kcal/mol of atoms

a b c (Å): 2.991 2.991 7.041
angles (deg): 90.00 90.00 90.00
Positions (direct):
P 0.500 0.500 0.500
Pt 0.000 0.000 0.711
Pt 0.000 0.000 0.289
Au 0.500 0.500 0.000



14.
First-principles (PBE-GGA) data for a relaxed PPt2Au crystal, as listed in Alexandria.

Values from the calculation:
SG   P4mm, No. 99
Final energy   -5.166 eV/atom
E_form   0.59 kcal/mol of atoms

a b c (Å): 3.408 3.408 5.777
angles (deg): 90.00 90.00 90.00
Positions (direct):
P 0.500 0.500 0.831
Pt 0.000 0.000 0.959
Pt 0.500 0.500 0.232
Au 0.000 0.000 0.479



15.
First-principles (PBE-GGA) data for a relaxed PPtAu2 crystal, as listed in Alexandria.

Values from the calculation:
SG   P4/mmm, No. 123
Final energy   -4.179 eV/atom
E_form   7.44 kcal/mol of atoms

a b c (Å): 4.844 4.844 2.900
angles (deg): 90.00 90.00 90.00
Positions (direct):
P 0.500 0.500 0.500
Pt 0.000 0.000 0.500
Au 0.500 0.000 0.000
Au 0.000 0.500 0.000



16.
First-principles (PBE-GGA) data for a relaxed PPtAu2 crystal, as listed in Alexandria.

Values from the calculation:
SG   Immm, No. 71
Final energy   -4.420 eV/atom
E_form   1.87 kcal/mol of atoms

a b c (Å): 6.354 6.354 6.354
angles (deg): 149.74 146.91 45.45
Positions (direct):
P 0.000 0.500 0.500
Pt 0.500 0.000 0.500
Au 0.812 0.812 0.000
Au 0.188 0.188 0.000



17.
First-principles (PBE-GGA) data for a relaxed P2Pt2Au crystal, as listed in Alexandria.

Values from the calculation:
SG   I4/mmm, No. 139
Final energy   -5.325 eV/atom
E_form   -2.06 kcal/mol of atoms
Energy relative to the lowest polymorph listed for this composition   0 meV per atom

a b c (Å): 4.465 4.465 5.219
angles (deg): 64.68 64.68 90.00
Positions (direct):
P 0.365 0.365 0.271
P 0.635 0.635 0.729
Au 0.000 0.000 0.000
Pt 0.750 0.250 0.500
Pt 0.250 0.750 0.500



18.
First-principles (PBE-GGA) data for a relaxed PPtAu2 crystal, as listed in Alexandria.

Values from the calculation:
SG   Pmm2, No. 25
Final energy   -4.474 eV/atom
E_form   0.64 kcal/mol of atoms

a b c (Å): 3.081 3.224 6.835
angles (deg): 90.00 90.00 90.00
Positions (direct):
P 0.000 0.000 0.547
Pt 0.500 0.500 0.703
Au 0.000 0.000 0.989
Au 0.500 0.500 0.260



19.
First-principles (PBE-GGA) data for a relaxed PPt4Au crystal, as listed in Alexandria.

Values from the calculation:
SG   C2/c, No. 15
Final energy   -5.627 eV/atom
E_form   -3.51 kcal/mol of atoms
Energy relative to the lowest polymorph listed for this composition   0 meV per atom

a b c (Å): 5.719 5.382 7.100
angles (deg): 96.75 113.75 90.00
Positions (direct):
P 0.500 0.000 0.500
P 0.000 0.500 0.500
Pt 0.462 0.077 0.810
Pt 0.651 0.423 0.190
Pt 0.538 0.923 0.190
Pt 0.349 0.577 0.810
Pt 0.925 0.896 0.639
Pt 0.286 0.604 0.361
Pt 0.075 0.104 0.361
Pt 0.714 0.396 0.639
Au 0.886 0.750 0.000
Au 0.114 0.250 0.000



20.
First-principles (PBE-GGA) data for a relaxed PPtAu3 crystal, as listed in Alexandria.

Values from the calculation:
SG   Pm-3m, No. 221
Final energy   -3.751 eV/atom
E_form   11.66 kcal/mol of atoms
Energy relative to the lowest polymorph listed for this composition   0 meV per atom

a b c (Å): 4.637 4.637 4.637
angles (deg): 90.00 90.00 90.00
Positions (direct):
P 0.000 0.000 0.000
Au 0.000 0.500 0.000
Au 0.000 0.000 0.500
Au 0.500 0.000 0.000
Pt 0.500 0.500 0.500